Here is crystalline CsMo2F at its relaxed geometry from Alexandria via LeMat-Bulk. Energies are from GGA+U.

Space-group type   Fm-3m (225)
ρ   5.209 g/cm3
Crystal system   cubic
Electronic total energy   -12.383 eV for the cell shown
V   27.4 Å³ per atom

a = 5.3717 Å, b = 5.3717 Å, c = 5.3717 Å
α = 60.00°, β = 60.00°, γ = 60.00°
Each line ends with the local moment (μB).
Element x y z (fractional)
1 Cs 0.5000 0.5000 0.5000  0.23
2 Mo 0.2500 0.2500 0.2500  4.25
3 Mo 0.7500 0.7500 0.7500  4.25
4 F 0.0000 0.0000 0.0000  0.15